# 1
A relaxed TlFeAg2 crystal, computed with PBE.

Cell and atoms, written as POSCAR:
```
TlFeAg2
1.0
3.9346 0.0000 0.0000
0.0000 3.9346 0.0000
1.9673 1.9673 10.2293
Fe Ag Tl
2 4 2
Direct
0.5000 0.5000 0.0000
0.2500 0.7500 0.5000
0.3750 0.3835 0.7500
0.6165 0.1250 0.2500
0.8750 0.8665 0.7500
0.1335 0.6250 0.2500
0.0000 0.0000 0.0000
0.7500 0.2500 0.5000
```

- D(E_F) (states/eV/f.u.) = 1.926
- E above lowest polymorph (meV per atom) = 167
- energy of formation (eV/f.u.) = 2.15

---

# 2
A relaxed AlReGe crystal, computed with PBE.

Cell and atoms, written as POSCAR:
```
AlReGe
1.0
4.5337 0.1116 -1.4563
-2.8546 3.7496 -0.6917
0.3924 -0.2618 5.0365
Al Re Ge
2 2 2
Direct
0.3978 0.8755 0.9844
0.1480 0.1256 0.4847
0.7293 0.5445 0.9845
0.4793 0.7945 0.4845
0.8148 0.4586 0.4844
0.0649 0.2088 0.9848
```

- D(E_F) (states/eV/f.u.) = 0.026
- E above lowest polymorph (meV per atom) = 61
- energy of formation (eV/f.u.) = -0.56

---

# 3
A relaxed SbAsIrSe2 crystal, computed with PBE.

Cell and atoms, written as POSCAR:
```
SbAsIrSe2
1.0
5.1146 0.0000 0.0000
0.0000 5.1146 0.0000
0.0000 0.0000 4.5866
Sb Ir As Se
1 1 1 2
Direct
0.5000 0.5000 0.5000
0.0000 0.0000 0.0000
0.0000 0.0000 0.5000
0.5000 0.0000 0.0000
0.0000 0.5000 0.0000
```

- D(E_F) (states/eV/f.u.) = 2.669
- raw formation energy (meV per atom) = 430
- E above lowest polymorph (meV per atom) = 0

---

# 4
A relaxed Er2InPd2 crystal, computed with PBE.

Cell and atoms, written as POSCAR:
```
Er2InPd2
1.0
-5.1436 1.5840 5.6020
-5.8183 -1.6538 -4.8745
0.0922 -3.4434 1.0583
Pd Er In
4 4 2
Direct
0.6285 0.8715 0.0000
0.1285 0.6285 0.0000
0.8715 0.3715 0.0000
0.3715 0.1285 0.0000
0.8288 0.6712 0.5000
0.3288 0.8288 0.5000
0.1712 0.3288 0.5000
0.6712 0.1712 0.5000
0.0000 0.0000 0.0000
0.5000 0.5000 0.0000
```

- D(E_F) (states/eV/f.u.) = 1.741
- energy of formation (eV/f.u.) = -4.42

---

# 5
A relaxed TbCe4Se7 crystal, computed with PBE.

Cell and atoms, written as POSCAR:
```
TbCe4Se7
1.0
-3.1011 -2.5372 -0.8804
2.0695 -1.5463 6.7244
-8.0211 9.3507 1.3059
Se Ce Tb
7 4 1
Direct
0.9604 0.9208 0.2154
0.3402 0.6805 0.9482
0.4961 0.9922 0.5024
0.0383 0.0767 0.7800
0.6590 0.3179 0.0515
0.7409 0.4817 0.3544
0.2665 0.5329 0.6491
0.9997 0.9994 0.9979
0.1138 0.2277 0.4255
0.6985 0.3970 0.8075
0.3017 0.6035 0.1916
0.8848 0.7697 0.5766
```

- D(E_F) (states/eV/f.u.) = 28.031
- raw formation energy (meV per atom) = -1816

---

# 6
A relaxed SiSe crystal, computed with PBE.

Cell and atoms, written as POSCAR:
```
SiSe
1.0
8.4536 0.0826 0.0494
7.6470 3.6047 0.0494
7.6470 1.7513 3.1511
Se Si
2 2
Direct
0.9127 0.9127 0.9127
0.0873 0.0873 0.0873
0.6337 0.6337 0.6337
0.3664 0.3664 0.3664
```

- D(E_F) (states/eV/f.u.) = 0.211
- raw formation energy (meV per atom) = -214